Below is an optimized crystal structure of CrTeRh2O, with properties calculated at the PBE with a Hubbard U level.

Cell lengths 4.8741, 3.9886, 4.8741 Å; angles 90.00, 90.00, 90.00 degrees
Element x y z (fractional)
Cr: 0.5000 0.5000 0.5000
Te: 0.0000 0.0000 0.0000
Rh: 0.0000 0.0000 0.5000
Rh: 0.5000 0.0000 0.0000
O: 0.0000 0.5000 0.0000

## Properties
Symmetry: P4/mmm, No. 123
Crystal system: tetragonal
Total moment: 0.01 μB per atom
Calculated total energy: -24.5 eV per cell